The following is a DFT calculation (PBE with a Hubbard U) of crystalline FeIrNO2 at its relaxed geometry.

The structure belongs to space group P4/mmm (No. 123); the cell edges are 3.698, 3.698 and 4.008 Å and the angles 90.00°, 90.00° and 90.00°. Symmetry generates all atoms from Fe at (0.000, 0.000, 0.000), Ir at (0.500, 0.500, 0.500), N at (0.000, 0.000, 0.500) and O at (0.000, 0.500, 0.000).

Its density of states at the Fermi level is 4.53 states/eV per cell. The density is 8907 kg/m3. The final energy comes out at -5.72 eV per atom.